First-principles (PBE-GGA) data for YTe2Se after structural relaxation, as listed in Alexandria via LeMat-Bulk.

The structure in POSCAR format:
```
YTe2Se
1.0
-1.938 5.296 -1.699
-1.151 3.135 -4.852
-5.726 -1.475 -0.417
Te Y Se
2 1 1
direct
0.814 0.814 0.646
0.984 0.984 0.000
0.538 0.538 0.570
0.164 0.164 0.284
```

Calculated values
- Energy relative to the elements, uncorrected: -847 meV/atom
- Density of states at the Fermi level: 0.63 states/eV/atom

---

First-principles (PBE-GGA) data for Dy2Sc2In3 after structural relaxation, as listed in Alexandria via LeMat-Bulk.

The structure in POSCAR format:
```
Dy2Sc2In3
1.0
4.638 0.000 0.615
0.000 3.249 0.000
0.815 0.000 11.642
Dy Sc In
2 2 3
direct
0.574 0.500 0.852
0.426 0.500 0.148
0.289 0.500 0.422
0.711 0.500 0.578
0.158 0.000 0.685
0.842 0.000 0.315
0.000 0.000 0.000
```

Calculated values
- ΔH_f (0 K): -0.31 eV/atom
- Density of states at the Fermi level: 1.04 states/eV/atom

---

Number 1: total DFT energy (no corrections) -4.905 eV per atom. Number 2: total DFT energy (no corrections) -4.605 eV per atom.